# AgSbO3

An optimized crystal structure of AgSbO3 (PBE, OQMD via LeMat-Bulk).

Cell lengths 3.9726, 3.9726, 4.3474 Å; angles 90.00, 90.00, 90.00 degrees
Element x y z (fractional)
Ag (0.0000, 0.0000, 0.0000)
Sb (0.5000, 0.5000, 0.3854)
O (0.0000, 0.0000, 0.5163)
O (0.0000, 0.5000, 0.1136)
O (0.5000, 0.0000, 0.1136)

Properties
The calculated density comes out at 6.7 g/cm3. For the energy, the calculation gives -23.1 eV/f.u.

---

# AgSbO3

An optimized crystal structure of AgSbO3 (PBE, OQMD via LeMat-Bulk).

Cell lengths 5.6948, 8.6979, 5.4274 Å; angles 90.00, 90.00, 90.00 degrees
Element x y z (fractional)
Ag (0.0000, 0.0000, 0.0000)
Ag (0.0000, 0.5000, 0.0000)
Ag (0.5000, 0.0000, 0.5000)
Ag (0.5000, 0.5000, 0.5000)
Sb (0.0031, 0.2500, 0.4982)
Sb (0.4969, 0.7500, 0.9982)
Sb (0.5031, 0.2500, 0.0018)
Sb (0.9969, 0.7500, 0.5018)
O (0.1722, 0.5847, 0.3364)
O (0.1722, 0.9153, 0.3364)
O (0.1745, 0.7500, 0.8184)
O (0.3255, 0.2500, 0.3184)
O (0.3278, 0.0847, 0.8364)
O (0.3278, 0.4153, 0.8364)
O (0.6722, 0.5847, 0.1636)
O (0.6722, 0.9153, 0.1636)
O (0.6745, 0.7500, 0.6816)
O (0.8255, 0.2500, 0.1816)
O (0.8278, 0.0847, 0.6636)
O (0.8278, 0.4153, 0.6636)

Properties
The calculated density comes out at 6.9 g/cm3. For the energy, the calculation gives -25.2 eV/f.u.

---

# AgSbO4

An optimized crystal structure of AgSbO4 (PBE, OQMD via LeMat-Bulk).

Cell lengths 6.4101, 6.4101, 5.3893 Å; angles 103.87, 103.87, 44.59 degrees
Element x y z (fractional)
Ag (0.2150, 0.7850, 0.7500)
Ag (0.7850, 0.2150, 0.2500)
Sb (0.0000, 0.5000, 0.0000)
Sb (0.5000, 0.0000, 0.5000)
O (0.0615, 0.7689, 0.0308)
O (0.2187, 0.3946, 0.3535)
O (0.2311, 0.9385, 0.4692)
O (0.3946, 0.2187, 0.8535)
O (0.6054, 0.7813, 0.1465)
O (0.7689, 0.0615, 0.5308)
O (0.7813, 0.6054, 0.6465)
O (0.9385, 0.2311, 0.9692)

Properties
The calculated density comes out at 6.5 g/cm3. For the energy, the calculation gives -30.1 eV/f.u.

---

# AgSbO3

An optimized crystal structure of AgSbO3 (PBE, OQMD via LeMat-Bulk).

Cell lengths 5.5909, 7.8477, 5.5391 Å; angles 90.00, 90.00, 90.00 degrees
Element x y z (fractional)
Ag (0.0197, 0.2500, 0.0033)
Ag (0.4803, 0.7500, 0.5033)
Ag (0.5197, 0.2500, 0.4967)
Ag (0.9803, 0.7500, 0.9967)
Sb (0.0000, 0.0000, 0.5000)
Sb (0.0000, 0.5000, 0.5000)
Sb (0.5000, 0.0000, 0.0000)
Sb (0.5000, 0.5000, 0.0000)
O (0.0170, 0.7500, 0.4118)
O (0.2118, 0.5459, 0.7901)
O (0.2118, 0.9541, 0.7901)
O (0.2882, 0.0459, 0.2901)
O (0.2882, 0.4541, 0.2901)
O (0.4830, 0.2500, 0.9118)
O (0.5170, 0.7500, 0.0882)
O (0.7118, 0.5459, 0.7099)
O (0.7118, 0.9541, 0.7099)
O (0.7882, 0.0459, 0.2099)
O (0.7882, 0.4541, 0.2099)
O (0.9830, 0.2500, 0.5882)

Properties
The calculated density comes out at 7.6 g/cm3. For the energy, the calculation gives -26.3 eV/f.u.

---

# AgSbO6

An optimized crystal structure of AgSbO6 (PBE, OQMD via LeMat-Bulk).

Cell lengths 5.1908, 5.1908, 5.1908 Å; angles 60.00, 60.00, 60.00 degrees
Element x y z (fractional)
Ag (0.0000, 0.0000, 0.0000)
Sb (0.7500, 0.7500, 0.7500)
O (0.0207, 0.0207, 0.4793)
O (0.0207, 0.4793, 0.0207)
O (0.0207, 0.4793, 0.4793)
O (0.4793, 0.0207, 0.0207)
O (0.4793, 0.0207, 0.4793)
O (0.4793, 0.4793, 0.0207)

Properties
The calculated density comes out at 5.5 g/cm3. For the energy, the calculation gives -31.9 eV/f.u.

---

# AgSbO3

An optimized crystal structure of AgSbO3 (PBE, OQMD via LeMat-Bulk).

Cell lengths 7.2880, 7.2880, 7.2880 Å; angles 60.00, 60.00, 60.00 degrees
Element x y z (fractional)
Ag (0.0000, 0.0000, 0.0000)
Ag (0.0000, 0.0000, 0.5000)
Ag (0.0000, 0.5000, 0.0000)
Ag (0.5000, 0.0000, 0.0000)
Sb (0.0000, 0.5000, 0.5000)
Sb (0.5000, 0.0000, 0.5000)
Sb (0.5000, 0.5000, 0.0000)
Sb (0.5000, 0.5000, 0.5000)
O (0.1738, 0.1738, 0.5762)
O (0.1738, 0.5762, 0.1738)
O (0.1738, 0.5762, 0.5762)
O (0.4238, 0.4238, 0.8262)
O (0.4238, 0.8262, 0.4238)
O (0.4238, 0.8262, 0.8262)
O (0.5762, 0.1738, 0.1738)
O (0.5762, 0.1738, 0.5762)
O (0.5762, 0.5762, 0.1738)
O (0.8262, 0.4238, 0.4238)
O (0.8262, 0.4238, 0.8262)
O (0.8262, 0.8262, 0.4238)

Properties
The calculated density comes out at 6.7 g/cm3. For the energy, the calculation gives -26.8 eV/f.u.

---

# AgSbO3

An optimized crystal structure of AgSbO3 (PBE, OQMD via LeMat-Bulk).

Cell lengths 3.9392, 3.9392, 3.9495 Å; angles 90.00, 90.00, 90.00 degrees
Element x y z (fractional)
Ag (0.0000, 0.0000, 0.0000)
Sb (0.5000, 0.5000, 0.5046)
O (0.0000, 0.5000, 0.5035)
O (0.5000, 0.0000, 0.5035)
O (0.5000, 0.5000, 0.0045)

Properties
The calculated density comes out at 7.5 g/cm3. For the energy, the calculation gives -25.8 eV/f.u.

---

# AgSbO3

An optimized crystal structure of AgSbO3 (PBE, OQMD via LeMat-Bulk).

Cell lengths 5.6311, 5.6311, 5.6311 Å; angles 64.10, 64.10, 64.10 degrees
Element x y z (fractional)
Ag (0.0000, 0.0000, 0.0000)
Ag (0.5000, 0.5000, 0.5000)
Sb (0.2500, 0.2500, 0.2500)
Sb (0.7500, 0.7500, 0.7500)
O (0.0708, 0.7500, 0.4292)
O (0.2500, 0.5708, 0.9292)
O (0.4292, 0.0708, 0.7500)
O (0.5708, 0.9292, 0.2500)
O (0.7500, 0.4292, 0.0708)
O (0.9292, 0.2500, 0.5708)

Properties
The calculated density comes out at 6.7 g/cm3. For the energy, the calculation gives -24.4 eV/f.u.

---

# AgSbSeO

An optimized crystal structure of AgSbSeO (PBE, OQMD via LeMat-Bulk).

Cell lengths 3.9261, 3.9261, 9.4173 Å; angles 90.00, 90.00, 90.00 degrees
Element x y z (fractional)
Ag (0.2500, 0.7500, 0.0000)
Ag (0.7500, 0.2500, 0.0000)
Sb (0.2500, 0.2500, 0.3733)
Sb (0.7500, 0.7500, 0.6267)
Se (0.2500, 0.2500, 0.7904)
Se (0.7500, 0.7500, 0.2096)
O (0.2500, 0.7500, 0.5000)
O (0.7500, 0.2500, 0.5000)

Properties
The calculated density comes out at 7.4 g/cm3. As for the energy above the lowest structure with this stoichiometry: 59 meV/atom.

---

# AgSbSeO

An optimized crystal structure of AgSbSeO (PBE, OQMD via LeMat-Bulk).

Cell lengths 5.9974, 5.5865, 11.1634 Å; angles 90.00, 99.54, 90.00 degrees
Element x y z (fractional)
Ag (0.0780, 0.0000, 0.1776)
Ag (0.3912, 0.1934, 0.0196)
Ag (0.6088, 0.6934, 0.9804)
Ag (0.9220, 0.5000, 0.8224)
Sb (0.0127, 0.7198, 0.5914)
Sb (0.4387, 0.2327, 0.6488)
Sb (0.5613, 0.7327, 0.3512)
Sb (0.9873, 0.2198, 0.4086)
Se (0.1665, 0.1424, 0.8119)
Se (0.4599, 0.1987, 0.2468)
Se (0.5401, 0.6987, 0.7532)
Se (0.8335, 0.6424, 0.1881)
O (0.2099, 0.9875, 0.5235)
O (0.2209, 0.4484, 0.5262)
O (0.7791, 0.9484, 0.4738)
O (0.7901, 0.4875, 0.4765)

Properties
The calculated density comes out at 5.8 g/cm3. As for the energy above the lowest structure with this stoichiometry: 63 meV/atom.

---

# AgSbSeO

An optimized crystal structure of AgSbSeO (PBE, OQMD via LeMat-Bulk).

Cell lengths 3.7539, 6.9176, 6.8276 Å; angles 90.00, 90.00, 90.00 degrees
Element x y z (fractional)
Ag (0.0000, 0.2495, 0.0000)
Ag (0.0000, 0.7505, 0.5000)
Sb (0.5000, 0.3713, 0.4633)
Sb (0.5000, 0.6287, 0.9633)
Se (0.0000, 0.1494, 0.6349)
Se (0.0000, 0.8506, 0.1349)
O (0.5000, 0.2567, 0.2046)
O (0.5000, 0.7433, 0.7046)

Properties
The calculated density comes out at 6.1 g/cm3. As for the energy above the lowest structure with this stoichiometry: 225 meV/atom.

---

# AgSbSeO

An optimized crystal structure of AgSbSeO (PBE, OQMD via LeMat-Bulk).

Cell lengths 10.9129, 10.1310, 5.7770 Å; angles 90.00, 90.00, 90.00 degrees
Element x y z (fractional)
Ag (0.1337, 0.0276, 0.0000)
Ag (0.1337, 0.9724, 0.5000)
Ag (0.3664, 0.0288, 0.2867)
Ag (0.3664, 0.9712, 0.7867)
Ag (0.6336, 0.0288, 0.2867)
Ag (0.6336, 0.9712, 0.7867)
Ag (0.8663, 0.0276, 0.0000)
Ag (0.8663, 0.9724, 0.5000)
Sb (0.0000, 0.3418, 0.7205)
Sb (0.0000, 0.6582, 0.2205)
Sb (0.2499, 0.4004, 0.1444)
Sb (0.2499, 0.5996, 0.6444)
Sb (0.5000, 0.3423, 0.5680)
Sb (0.5000, 0.6577, 0.0680)
Sb (0.7501, 0.4004, 0.1444)
Sb (0.7501, 0.5996, 0.6444)
Se (0.0000, 0.2290, 0.1327)
Se (0.0000, 0.7710, 0.6327)
Se (0.2511, 0.1841, 0.6439)
Se (0.2511, 0.8159, 0.1439)
Se (0.5000, 0.2306, 0.1552)
Se (0.5000, 0.7694, 0.6552)
Se (0.7489, 0.1841, 0.6439)
Se (0.7489, 0.8159, 0.1439)
O (0.1365, 0.4723, 0.8415)
O (0.1365, 0.5277, 0.3415)
O (0.3631, 0.4729, 0.4468)
O (0.3631, 0.5271, 0.9468)
O (0.6369, 0.4729, 0.4468)
O (0.6369, 0.5271, 0.9468)
O (0.8635, 0.4723, 0.8415)
O (0.8635, 0.5277, 0.3415)

Properties
The calculated density comes out at 6.8 g/cm3. As for the energy above the lowest structure with this stoichiometry: 0 meV/atom.

---

# SiAgSbO5

An optimized crystal structure of SiAgSbO5 (PBE, OQMD via LeMat-Bulk).

Cell lengths 12.7302, 10.7540, 6.2683 Å; angles 90.00, 90.00, 90.00 degrees
Element x y z (fractional)
Si (0.0623, 0.2500, 0.2500)
Si (0.2500, 0.0000, 0.5763)
Si (0.2500, 0.5000, 0.9237)
Si (0.4377, 0.7500, 0.2500)
Si (0.5623, 0.2500, 0.7500)
Si (0.7500, 0.0000, 0.4237)
Si (0.7500, 0.5000, 0.0763)
Si (0.9377, 0.7500, 0.7500)
Ag (0.1395, 0.6032, 0.4562)
Ag (0.1395, 0.8968, 0.0438)
Ag (0.3605, 0.1032, 0.0438)
Ag (0.3605, 0.3968, 0.4562)
Ag (0.6395, 0.6032, 0.5438)
Ag (0.6395, 0.8968, 0.9562)
Ag (0.8605, 0.1032, 0.9562)
Ag (0.8605, 0.3968, 0.5438)
Sb (0.0000, 0.0000, 0.5000)
Sb (0.0000, 0.5000, 0.0000)
Sb (0.1331, 0.2500, 0.7500)
Sb (0.3669, 0.7500, 0.7500)
Sb (0.5000, 0.0000, 0.5000)
Sb (0.5000, 0.5000, 0.0000)
Sb (0.6331, 0.2500, 0.2500)
Sb (0.8669, 0.7500, 0.2500)
O (0.0191, 0.6338, 0.7865)
O (0.0191, 0.8662, 0.7135)
O (0.0216, 0.1204, 0.7358)
O (0.0216, 0.3796, 0.7642)
O (0.1447, 0.2252, 0.0566)
O (0.1447, 0.2748, 0.4434)
O (0.1501, 0.5078, 0.0865)
O (0.1501, 0.9922, 0.4135)
O (0.2463, 0.1207, 0.7367)
O (0.2463, 0.3793, 0.7633)
O (0.2537, 0.6207, 0.7633)
O (0.2537, 0.8793, 0.7367)
O (0.3499, 0.0078, 0.4135)
O (0.3499, 0.4922, 0.0865)
O (0.3553, 0.7252, 0.4434)
O (0.3553, 0.7748, 0.0566)
O (0.4784, 0.6204, 0.7642)
O (0.4784, 0.8796, 0.7358)
O (0.4809, 0.1338, 0.7135)
O (0.4809, 0.3662, 0.7865)
O (0.5191, 0.6338, 0.2135)
O (0.5191, 0.8662, 0.2865)
O (0.5216, 0.1204, 0.2642)
O (0.5216, 0.3796, 0.2358)
O (0.6447, 0.2252, 0.9434)
O (0.6447, 0.2748, 0.5566)
O (0.6501, 0.5078, 0.9135)
O (0.6501, 0.9922, 0.5865)
O (0.7463, 0.1207, 0.2633)
O (0.7463, 0.3793, 0.2367)
O (0.7537, 0.6207, 0.2367)
O (0.7537, 0.8793, 0.2633)
O (0.8499, 0.0078, 0.5865)
O (0.8499, 0.4922, 0.9135)
O (0.8553, 0.7252, 0.5566)
O (0.8553, 0.7748, 0.9434)
O (0.9784, 0.6204, 0.2358)
O (0.9784, 0.8796, 0.2642)
O (0.9809, 0.1338, 0.2865)
O (0.9809, 0.3662, 0.2135)

Properties
The calculated density comes out at 5.2 g/cm3. For the energy, the calculation gives -50.3 eV/f.u.

---

# AgSbTeO

An optimized crystal structure of AgSbTeO (PBE, OQMD via LeMat-Bulk).

Cell lengths 3.9118, 6.9696, 7.1113 Å; angles 90.00, 90.00, 90.00 degrees
Element x y z (fractional)
Ag (0.0000, 0.2483, 0.0000)
Ag (0.0000, 0.7517, 0.5000)
Sb (0.5000, 0.1063, 0.4390)
Sb (0.5000, 0.8937, 0.9390)
Te (0.0000, 0.3489, 0.6282)
Te (0.0000, 0.6511, 0.1282)
O (0.5000, 0.2159, 0.1861)
O (0.5000, 0.7841, 0.6861)

Properties
The calculated density comes out at 6.4 g/cm3. As for the energy above the lowest structure with this stoichiometry: 211 meV/atom.

---

# AgSbTeO

An optimized crystal structure of AgSbTeO (PBE, OQMD via LeMat-Bulk).

Cell lengths 4.0186, 4.0186, 9.9797 Å; angles 90.00, 90.00, 90.00 degrees
Element x y z (fractional)
Ag (0.2500, 0.7500, 0.0000)
Ag (0.7500, 0.2500, 0.0000)
Sb (0.2500, 0.2500, 0.3838)
Sb (0.7500, 0.7500, 0.6162)
Te (0.2500, 0.2500, 0.7889)
Te (0.7500, 0.7500, 0.2111)
O (0.2500, 0.7500, 0.5000)
O (0.7500, 0.2500, 0.5000)

Properties
The calculated density comes out at 7.7 g/cm3. As for the energy above the lowest structure with this stoichiometry: 48 meV/atom.

---

# AgSbTeO

An optimized crystal structure of AgSbTeO (PBE, OQMD via LeMat-Bulk).

Cell lengths 11.2491, 10.5175, 5.8968 Å; angles 90.00, 90.00, 90.00 degrees
Element x y z (fractional)
Ag (0.1326, 0.0267, 0.0000)
Ag (0.1326, 0.9733, 0.5000)
Ag (0.3675, 0.0279, 0.3213)
Ag (0.3675, 0.9721, 0.8213)
Ag (0.6325, 0.0279, 0.3213)
Ag (0.6325, 0.9721, 0.8213)
Ag (0.8674, 0.0267, 0.0000)
Ag (0.8674, 0.9733, 0.5000)
Sb (0.0000, 0.3543, 0.7527)
Sb (0.0000, 0.6457, 0.2527)
Sb (0.2498, 0.4055, 0.1625)
Sb (0.2498, 0.5945, 0.6625)
Sb (0.5000, 0.3549, 0.5724)
Sb (0.5000, 0.6451, 0.0724)
Sb (0.7502, 0.4055, 0.1625)
Sb (0.7502, 0.5945, 0.6625)
Te (0.0000, 0.2255, 0.1816)
Te (0.0000, 0.7745, 0.6816)
Te (0.2505, 0.1894, 0.6624)
Te (0.2505, 0.8106, 0.1624)
Te (0.5000, 0.2275, 0.1424)
Te (0.5000, 0.7725, 0.6424)
Te (0.7495, 0.1894, 0.6624)
Te (0.7495, 0.8106, 0.1624)
O (0.1376, 0.4762, 0.8680)
O (0.1376, 0.5238, 0.3680)
O (0.3619, 0.4767, 0.4569)
O (0.3619, 0.5233, 0.9569)
O (0.6381, 0.4767, 0.4569)
O (0.6381, 0.5233, 0.9569)
O (0.8624, 0.4762, 0.8680)
O (0.8624, 0.5238, 0.3680)

Properties
The calculated density comes out at 7.1 g/cm3. As for the energy above the lowest structure with this stoichiometry: 0 meV/atom.

---

# AgSbTeO

An optimized crystal structure of AgSbTeO (PBE, OQMD via LeMat-Bulk).

Cell lengths 6.7397, 7.4524, 7.2537 Å; angles 90.00, 95.17, 90.00 degrees
Element x y z (fractional)
Ag (0.0300, 0.1940, 0.4925)
Ag (0.0300, 0.3060, 0.9925)
Ag (0.9700, 0.6940, 0.0075)
Ag (0.9700, 0.8060, 0.5075)
Sb (0.4320, 0.5552, 0.7958)
Sb (0.4320, 0.9448, 0.2958)
Sb (0.5680, 0.0552, 0.7042)
Sb (0.5680, 0.4448, 0.2042)
Te (0.1749, 0.5180, 0.3175)
Te (0.1749, 0.9820, 0.8175)
Te (0.8251, 0.0180, 0.1825)
Te (0.8251, 0.4820, 0.6825)
O (0.4442, 0.1687, 0.4644)
O (0.4442, 0.3313, 0.9644)
O (0.5558, 0.6687, 0.0356)
O (0.5558, 0.8313, 0.5356)

Properties
The calculated density comes out at 6.8 g/cm3. As for the energy above the lowest structure with this stoichiometry: 91 meV/atom.